Compound: BeInNiAg
Source: OQMD via LeMat-Bulk
Functional: PBE
Structure: optimized geometry

```
BeInNiAg
1.0
0.000 3.075 3.075
3.075 0.000 3.075
3.075 3.075 0.000
Ag Be In Ni
1 1 1 1
Cartesian
3.075 3.075 3.075 Ag
1.538 1.538 1.538 Be
0.000 0.000 0.000 In
4.613 4.613 4.613 Ni
```

* E_tot: -14.3 eV/cell
* space-group type: F-43m